1.
# LaPdRh3 | Alexandria | GGA-PBE | optimized geometry
data_LaPdRh3
_chemical_formula_sum 'La1 Pd1 Rh3'
_space_group_name_H-M_alt 'P m -3 m'
_space_group_IT_number 221
_space_group_name_Hall '-P 4 2 3'
_cell_length_a 4.827
_cell_length_b 4.827
_cell_length_c 4.827
_cell_angle_alpha 90.00
_cell_angle_beta 90.00
_cell_angle_gamma 90.00
loop_
_atom_site_label
_atom_site_type_symbol
_atom_site_fract_x
_atom_site_fract_y
_atom_site_fract_z
La1 La 0.000 0.000 0.000
Pd1 Pd 0.500 0.500 0.500
Rh1 Rh 0.000 0.000 0.500
# * Fermi-level density of states: 1.93 states/eV per atom
# * offset from the most stable computed form: 654 meV/atom
# * energy relative to the elements: 1.172 eV/atom
# * uncorrected energy: -5.2628 eV/atom
# * V: 112.4 Å³ per cell

2.
# La3PdRh | Alexandria | GGA-PBE | optimized geometry
data_La3PdRh
_chemical_formula_sum 'La6 Pd2 Rh2'
_space_group_name_H-M_alt 'P -1'
_space_group_IT_number 2
_cell_length_a 6.296
_cell_length_b 6.675
_cell_length_c 7.728
_cell_angle_alpha 78.73
_cell_angle_beta 89.05
_cell_angle_gamma 64.33
loop_
_space_group_symop_operation_xyz
'x,y,z'
'-x,-y,-z'
loop_
_atom_site_label
_atom_site_type_symbol
_atom_site_fract_x
_atom_site_fract_y
_atom_site_fract_z
La1 La 0.065 0.167 0.154
La2 La 0.266 0.191 0.652
La3 La 0.416 0.501 0.232
Pd1 Pd 0.204 0.797 0.490
Rh1 Rh 0.399 0.857 0.962
# * Fermi-level density of states: 1.03 states/eV per atom
# * offset from the most stable computed form: 21 meV/atom
# * energy relative to the elements: -0.637 eV/atom
# * uncorrected energy: -6.1023 eV/atom
# * V: 286.2 Å³ per cell

3.
# LaPd2Rh2 | Alexandria | GGA-PBE | optimized geometry
data_LaPd2Rh2
_chemical_formula_sum 'La2 Pd4 Rh4'
_space_group_name_H-M_alt 'P 4/m b m'
_space_group_IT_number 127
_space_group_name_Hall '-P 4 2ab'
_cell_length_a 7.692
_cell_length_b 7.692
_cell_length_c 3.020
_cell_angle_alpha 90.00
_cell_angle_beta 90.00
_cell_angle_gamma 90.00
loop_
_atom_site_label
_atom_site_type_symbol
_atom_site_fract_x
_atom_site_fract_y
_atom_site_fract_z
La1 La 0.000 0.000 0.000
Pd1 Pd 0.126 0.374 0.000
Rh1 Rh 0.173 0.673 0.500
# * Fermi-level density of states: 0.97 states/eV per atom
# * offset from the most stable computed form: 71 meV/atom
# * energy relative to the elements: -0.207 eV/atom
# * uncorrected energy: -6.2101 eV/atom
# * V: 178.6 Å³ per cell

Q: Which of these has the lowest uncorrected energy?
A: LaPd2Rh2

Q: Look up the uncorrected energy of the third one.
A: -6.2101 eV/atom

Q: Which value of V does entry 1 give?
A: 112.4 Å³ per cell